No. 1
VASP calculation (PBE) on an optimized crystal structure of PaAlNi.

abc: 4.409 4.409 4.409
angles: 60.00 60.00 60.00
Element x y z (fractional)
Pa1 0.500 0.500 0.500
Ni1 0.250 0.250 0.250
Al1 0.000 0.000 0.000

Fermi-level density of states: 2.386 states/eV/cell
Energy relative to the elements: -0.3298 eV/atom
V: 60.6 Å³ per cell

---

No. 2
VASP calculation (PBE) on an optimized crystal structure of Pa2AlNi2.

abc: 3.549 7.259 7.259
angles: 90.00 90.00 90.00
Element x y z (fractional)
Ni1 0.000 0.127 0.373
Ni2 0.000 0.873 0.627
Ni3 0.000 0.373 0.873
Ni4 0.000 0.627 0.127
Pa1 0.500 0.822 0.322
Pa2 0.500 0.678 0.822
Pa3 0.500 0.322 0.178
Pa4 0.500 0.178 0.678
Al1 0.000 0.000 0.000
Al2 0.000 0.500 0.500

Fermi-level density of states: 4.825 states/eV/cell
Energy relative to the elements: -0.4754 eV/atom
V: 187.0 Å³ per cell

---

No. 3
VASP calculation (PBE) on an optimized crystal structure of PaAlNi.

abc: 3.277 4.375 4.375
angles: 120.00 90.00 90.00
Element x y z (fractional)
Al1 0.167 0.000 0.000
Pa1 0.667 0.667 0.333
Ni1 0.167 0.333 0.667

Fermi-level density of states: 3.122 states/eV/cell
Energy relative to the elements: -0.3833 eV/atom
V: 54.3 Å³ per cell

---

No. 4
VASP calculation (PBE) on an optimized crystal structure of PaAl4Ni2.

abc: 4.142 6.525 16.545
angles: 90.00 90.00 90.00
Element x y z (fractional)
Al1 0.250 0.505 0.424
Al2 0.750 0.693 0.965
Al3 0.750 0.167 0.813
Al4 0.250 0.995 0.924
Al5 0.750 0.772 0.803
Al6 0.250 0.272 0.697
Al7 0.250 0.307 0.035
Al8 0.250 0.833 0.187
Al9 0.250 0.228 0.197
Al10 0.750 0.005 0.076
Al11 0.750 0.728 0.303
Al12 0.750 0.495 0.576
Al13 0.750 0.333 0.313
Al14 0.750 0.807 0.465
Al15 0.250 0.667 0.687
Al16 0.250 0.193 0.535
Pa1 0.250 0.019 0.368
Pa2 0.750 0.519 0.132
Pa3 0.250 0.481 0.868
Pa4 0.750 0.981 0.632
Ni1 0.750 0.034 0.223
Ni2 0.750 0.262 0.960
Ni3 0.750 0.466 0.723
Ni4 0.250 0.534 0.277
Ni5 0.250 0.762 0.540
Ni6 0.250 0.966 0.777
Ni7 0.250 0.738 0.040
Ni8 0.750 0.238 0.460

Fermi-level density of states: 15.830 states/eV/cell
Energy relative to the elements: -0.5054 eV/atom
Polymorph energy (0 for the lowest one): 0.0 meV per atom
V: 447.1 Å³ per cell

---

No. 5
VASP calculation (PBE) on an optimized crystal structure of PaAlNi6.

abc: 4.715 4.715 4.715
angles: 90.00 90.00 90.00
Element x y z (fractional)
Ni1 0.500 0.245 0.000
Ni2 0.245 0.000 0.500
Ni3 0.500 0.755 0.000
Ni4 0.000 0.500 0.245
Ni5 0.000 0.500 0.755
Ni6 0.755 0.000 0.500
Pa1 0.500 0.500 0.500
Al1 0.000 0.000 0.000

Fermi-level density of states: 2.791 states/eV/cell
Energy relative to the elements: -0.2981 eV/atom
Polymorph energy (0 for the lowest one): 0.0 meV per atom
V: 104.8 Å³ per cell

---

No. 6
VASP calculation (PBE) on an optimized crystal structure of Pa2Al4NiPt3.

abc: 4.169 4.169 10.349
angles: 90.00 90.00 90.00
Element x y z (fractional)
Pt1 0.000 0.000 0.500
Pt2 0.000 0.500 0.140
Pt3 0.500 0.000 0.860
Ni1 0.500 0.500 0.500
Al1 0.000 0.500 0.376
Al2 0.500 0.500 0.000
Al3 0.000 0.000 0.000
Al4 0.500 0.000 0.624
Pa1 0.500 0.000 0.257
Pa2 0.000 0.500 0.743

Fermi-level density of states: 8.533 states/eV/cell
Energy relative to the elements: -0.8539 eV/atom
V: 179.8 Å³ per cell

---

No. 7
VASP calculation (PBE) on an optimized crystal structure of PaAlNiRh.

abc: 4.605 4.605 4.605
angles: 60.00 60.00 60.00
Element x y z (fractional)
Rh1 0.750 0.750 0.750
Al1 0.500 0.500 0.500
Ni1 0.250 0.250 0.250
Pa1 0.000 0.000 0.000

Fermi-level density of states: 3.188 states/eV/cell
Energy relative to the elements: -0.5511 eV/atom
V: 69.1 Å³ per cell

---

No. 8
VASP calculation (PBE) on an optimized crystal structure of Pa2AlSi3Ni12.

abc: 6.272 6.272 6.272
angles: 83.23 83.23 83.23
Element x y z (fractional)
Ni1 0.387 0.907 0.387
Ni2 0.193 0.703 0.193
Ni3 0.703 0.193 0.193
Ni4 0.297 0.807 0.807
Ni5 0.807 0.297 0.807
Ni6 0.613 0.613 0.093
Ni7 0.193 0.193 0.703
Ni8 0.093 0.613 0.613
Ni9 0.907 0.387 0.387
Ni10 0.613 0.093 0.613
Ni11 0.387 0.387 0.907
Ni12 0.807 0.807 0.297
Si1 0.000 0.000 0.500
Si2 0.500 0.000 0.000
Si3 0.000 0.500 0.000
Al1 0.000 0.000 0.000
Pa1 0.663 0.663 0.663
Pa2 0.337 0.337 0.337

Fermi-level density of states: 9.549 states/eV/cell
Formation energy without anion corrections: -0.28 eV per atom
V: 242.0 Å³ per cell